1.
Here is a geometry-optimized Zn2TeMo structure from Alexandria via LeMat-Bulk. Energies are from GGA-PBE.

Cell: 6.5989 6.5989 6.5989 Å, 90.00 90.00 90.00°
Closest atoms and distances in Å follow each position.
Space group F-43m (No. 216)
Unique sites:
Zn: 0.0000 0.0000 0.0000 x4  4 Mo 2.86, 4 Zn 2.86
Zn: 0.2500 0.2500 0.2500 x4  4 Te 2.86, 4 Zn 2.86
Te: 0.0000 0.0000 0.5000 x4  4 Zn 2.86, 4 Mo 2.86
Mo: 0.2500 0.2500 0.7500 x4  4 Te 2.86, 4 Zn 2.86

Output
As for the total energy: -3.60 eV per atom.

=====

2.
Here is a geometry-optimized ZnTeMo structure from Alexandria via LeMat-Bulk. Energies are from GGA-PBE.

Cell: 3.4130 5.0955 14.1472 Å, 90.00 90.00 90.00°
Closest atoms and distances in Å follow each position.
Space group Fmm2 (No. 42)
Unique sites:
Zn: 0.0000 0.0000 0.0000 x4  2 Mo 2.63
Te: 0.0000 0.0000 0.2926 x4  2 Mo 2.74, 4 Te 3.07
Mo: 0.0000 0.0000 0.6412 x4  2 Zn 2.63, 2 Te 2.74

Output
The energy above the lowest structure with this stoichiometry is 1.17 eV/f.u.

=====

3.
Here is a geometry-optimized ZnTeMo structure from Alexandria via LeMat-Bulk. Energies are from GGA-PBE.

Cell: 4.5694 4.5694 3.2266 Å, 90.00 90.00 120.00°
Closest atoms and distances in Å follow each position.
Space group P-6m2 (No. 187)
Unique sites:
Zn: 0.0000 0.0000 0.0000 x1  6 Mo 3.09, 6 Te 3.09, 2 Zn 3.23
Te: 0.3333 0.6667 0.5000 x1  3 Mo 2.64
Mo: 0.6667 0.3333 0.5000 x1  3 Te 2.64

Output
The energy above the lowest structure with this stoichiometry is 1.22 eV/f.u.

=====

4.
Here is a geometry-optimized Zn2TeMo structure from Alexandria via LeMat-Bulk. Energies are from GGA-PBE.

Cell: 7.7370 7.7370 5.3296 Å, 90.00 90.00 90.00°
Closest atoms and distances in Å follow each position.
Space group I-42d (No. 122)
Unique sites:
Zn: 0.2331 0.7500 0.1250 x8  2 Zn 2.68, 2 Mo 2.73, 2 Te 2.91
Te: 0.0000 0.0000 0.5000 x4  2 Mo 2.66, 4 Zn 2.91
Mo: 0.0000 0.0000 0.0000 x4  2 Te 2.66, 4 Zn 2.73

Output
As for the total energy: -3.53 eV per atom.

=====

5.
Here is a geometry-optimized ZnTe2Mo structure from Alexandria via LeMat-Bulk. Energies are from GGA-PBE.

Cell: 6.1615 7.7227 3.5027 Å, 90.00 90.37 90.00°
Closest atoms and distances in Å follow each position.
Space group C2/m (No. 12)
Unique sites:
Zn: 0.0000 0.0000 0.0000 x2  8 Te 3.02-3.03, 2 Mo 3.08
Te: 0.2500 0.2500 0.5000 x4  4 Mo 3.02-3.03, 4 Zn 3.02-3.03, 2 Te 3.08
Mo: 0.0000 0.5000 0.0000 x2  8 Te 3.02-3.03, 2 Zn 3.08

Output
As for the total energy: -4.11 eV per atom.

=====

6.
Here is a geometry-optimized ZnTe2Mo structure from Alexandria via LeMat-Bulk. Energies are from GGA-PBE.

Cell: 3.4729 3.4729 7.5072 Å, 90.00 90.00 90.00°
Closest atoms and distances in Å follow each position.
Space group P4mm (No. 99)
Unique sites:
Zn: 0.0000 0.0000 0.0000 x1  5 Te 2.81-2.86, 4 Mo 2.81
Te: 0.0000 0.0000 0.3737 x1  1 Zn 2.81, 4 Mo 2.85
Te: 0.5000 0.5000 0.8056 x1  1 Mo 2.82, 4 Zn 2.86
Mo: 0.5000 0.5000 0.1813 x1  4 Zn 2.81, 5 Te 2.82-2.85

Output
As for the total energy: -4.47 eV per atom.

=====

7.
Here is a geometry-optimized Zn2TeMo structure from Alexandria via LeMat-Bulk. Energies are from GGA-PBE.

Cell: 5.3231 8.3497 3.2347 Å, 90.00 90.00 90.00°
Closest atoms and distances in Å follow each position.
Space group Cmmm (No. 65)
Unique sites:
Zn: 0.2500 0.2500 0.0000 x4  2 Zn 2.66, 4 Mo 2.96, 4 Te 2.96
Te: 0.0000 0.0000 0.5000 x2  2 Mo 2.66, 8 Zn 2.96
Mo: 0.0000 0.5000 0.5000 x2  2 Te 2.66, 8 Zn 2.96

Output
As for the total energy: -3.73 eV per atom.

=====

8.
Here is a geometry-optimized ZnTeMo structure from Alexandria via LeMat-Bulk. Energies are from GGA-PBE.

Cell: 6.3231 6.3231 6.3231 Å, 90.00 90.00 90.00°
Closest atoms and distances in Å follow each position.
Space group F-43m (No. 216)
Unique sites:
Zn: 0.0000 0.0000 0.0000 x4  4 Mo 2.74
Te: 0.0000 0.0000 0.5000 x4  4 Mo 2.74
Mo: 0.2500 0.2500 0.2500 x4  4 Te 2.74, 4 Zn 2.74

Output
The energy above the lowest structure with this stoichiometry is 1.04 eV/f.u.